K2AlAg2 | PBE | optimized geometry

Calculated values
For the total magnetization, the calculation gives 0.00 μB/atom. The calculation puts the energy relative to the elements at 125 meV per atom. For the energy relative to the lowest polymorph listed for this composition, the calculation gives 0.144 eV/atom.

Cell: 7.1315 7.1315 5.6585 Å, 90.00 90.00 90.00°
Space group P4/mbm (No. 127)
Asymmetric unit:
K 0.1750 0.3250 0.0000 x4
Al 0.0000 0.0000 0.5000 x2
Ag 0.1456 0.6456 0.5000 x4

***

K2AlAg2 | PBE | optimized geometry

Calculated values
For the total magnetization, the calculation gives 0.00 μB/atom. The calculation puts the energy relative to the elements at -19 meV per atom. For the energy relative to the lowest polymorph listed for this composition, the calculation gives 0.000 eV/atom.

Cell: 4.6221 4.6221 30.7161 Å, 90.00 90.00 120.00°
Space group R-3m (No. 166, hexagonal axes)
Asymmetric unit:
K 0.0000 0.0000 0.0721 x6
Al 0.0000 0.0000 0.5000 x3
Ag 0.0000 0.0000 0.1812 x6

***

KAl2Ag2 | PBE | optimized geometry

Calculated values
For the total magnetization, the calculation gives 0.00 μB/atom. The calculation puts the energy relative to the elements at 48 meV per atom. For the energy relative to the lowest polymorph listed for this composition, the calculation gives 0.029 eV/atom.

Cell: 4.8563 4.8563 10.0654 Å, 90.00 90.00 90.00°
Space group I4/mmm (No. 139)
Asymmetric unit:
K 0.0000 0.0000 0.0000 x2
Al 0.0000 0.0000 0.3615 x4
Ag 0.0000 0.5000 0.2500 x4

***

KAlAg4 | PBE | optimized geometry

Calculated values
For the total magnetization, the calculation gives 0.00 μB/atom. The calculation puts the energy relative to the elements at 162 meV per atom.

Cell: 8.0565 8.0565 8.0565 Å, 90.00 90.00 90.00°
Space group F-43m (No. 216)
Asymmetric unit:
K 0.0000 0.0000 0.0000 x4
Al 0.2500 0.2500 0.2500 x4
Ag 0.1243 0.1243 0.6243 x16

***

K2AlAg | PBE | optimized geometry

Calculated values
For the total magnetization, the calculation gives 0.00 μB/atom. The calculation puts the energy relative to the elements at 354 meV per atom.

Cell: 5.2348 5.2348 4.9168 Å, 90.00 90.00 90.00°
Space group P4/mmm (No. 123)
Asymmetric unit:
K 0.0000 0.5000 0.0000 x2
Al 0.0000 0.0000 0.5000 x1
Ag 0.5000 0.5000 0.5000 x1

***

K2AlAg | PBE | optimized geometry

Calculated values
For the total magnetization, the calculation gives 0.00 μB/atom. The calculation puts the energy relative to the elements at 138 meV per atom.

Cell: 4.0862 6.0279 11.4110 Å, 90.00 90.00 90.00°
Space group Imm2 (No. 44)
Asymmetric unit:
K 0.0000 0.0000 0.0000 x2
K 0.0000 0.5000 0.1929 x2
Al 0.0000 0.0000 0.4093 x2
Ag 0.0000 0.5000 0.7760 x2

***

K2AlAg | PBE | optimized geometry

Calculated values
For the total magnetization, the calculation gives 0.00 μB/atom. The calculation puts the energy relative to the elements at 347 meV per atom.

Cell: 7.0189 10.4882 3.5151 Å, 90.00 90.00 90.00°
Space group Cmmm (No. 65)
Asymmetric unit:
K 0.2500 0.2500 0.0000 x4
Al 0.0000 0.0000 0.5000 x2
Ag 0.0000 0.5000 0.5000 x2

***

K2AlAg | PBE | optimized geometry

Calculated values
For the total magnetization, the calculation gives 0.00 μB/atom. The calculation puts the energy relative to the elements at 325 meV per atom.

Cell: 4.0833 4.7231 6.8860 Å, 90.00 90.00 90.00°
Space group Pmmm (No. 47)
Asymmetric unit:
K 0.0000 0.0000 0.2440 x2
Al 0.5000 0.5000 0.5000 x1
Ag 0.5000 0.5000 0.0000 x1